## MgAl4Cu2 (PBE-GGA)

Data for a geometry-optimized MgAl4Cu2 structure.

Values from the calculation:
Symmetry = C2/m, No. 12
Energy of formation from the pure elements = -18 meV/atom

Cell and atoms, written as CIF:
```
data_MgAl4Cu2
_symmetry_space_group_name_H-M 'P 1'
_symmetry_Int_Tables_number 1
_cell_length_a 5.3391
_cell_length_b 5.3391
_cell_length_c 5.0349
_cell_angle_alpha 62.68
_cell_angle_beta 62.68
_cell_angle_gamma 78.19
loop_
_symmetry_equiv_pos_as_xyz
'x,y,z'
loop_
_atom_site_label
_atom_site_type_symbol
_atom_site_fract_x
_atom_site_fract_y
_atom_site_fract_z
Cu1 Cu 0.5059 0.5059 0.7442
Mg1 Mg 0.0000 0.0000 0.0000
Al1 Al 0.6012 0.9993 0.7020
Cu2 Cu 0.4941 0.4941 0.2558
Al2 Al 0.0007 0.3988 0.2980
Al3 Al 0.3988 0.0007 0.2980
Al4 Al 0.9993 0.6012 0.7020
```